DFT (PBE) results for a relaxed SbTeI3F6 crystal.

It has space group P2_1/c (No. 14), with a = 8.744 Å, b = 10.981 Å, c = 13.333 Å, α = 90.00°, β = 99.09° and γ = 90.00°. The distinct sites, in fractional coordinates, are Sb at (0.183, 0.219, 0.081), Te at (0.185, 0.674, 0.699), I at (0.225, 0.591, 0.258), I at (0.276, 0.549, 0.872), I at (0.438, 0.655, 0.606), F at (0.015, 0.749, 0.502), F at (0.104, 0.213, 0.696), F at (0.110, 0.060, 0.114), F at (0.254, 0.123, 0.548), F at (0.255, 0.150, 0.964) and F at (0.378, 0.186, 0.162).

For the density of states at the Fermi level, the calculation gives 0.00 states/eV/cell. The calculation puts the total moment at 0.00 μB/f.u. The calculated volume comes out at 1264 Å³/cell. The raw formation energy comes out at -1551 meV per atom.

DFT (PBE) results for a relaxed SbTe2IF crystal.

It has space group P4/mmm (No. 123), with a = 5.837 Å, b = 5.837 Å, c = 4.253 Å, α = 90.00°, β = 90.00° and γ = 90.00°. The distinct sites, in fractional coordinates, are Sb at (0.000, 0.000, 0.000), Te at (0.000, 0.500, 0.500), I at (0.500, 0.500, 0.000) and F at (0.000, 0.000, 0.500).

For the density of states at the Fermi level, the calculation gives 5.67 states/eV/cell. The calculation puts the total moment at 0.00 μB/f.u. The relative energy among the computed polymorphs comes out at 26 meV/atom. The calculated volume comes out at 145 Å³/cell. The raw formation energy comes out at 94 meV per atom.

DFT (PBE) results for a relaxed SbTe2IF crystal.

It has space group P4/mmm (No. 123), with a = 4.752 Å, b = 4.752 Å, c = 6.237 Å, α = 90.00°, β = 90.00° and γ = 90.00°. The distinct sites, in fractional coordinates, are Sb at (0.000, 0.000, 0.000), Te at (0.000, 0.500, 0.500), I at (0.500, 0.500, 0.000) and F at (0.500, 0.500, 0.500).

For the density of states at the Fermi level, the calculation gives 4.62 states/eV/cell. The calculation puts the total moment at 0.00 μB/f.u. The relative energy among the computed polymorphs comes out at 0 meV/atom. The calculated volume comes out at 141 Å³/cell. The raw formation energy comes out at 68 meV per atom.